1.
This record from Alexandria via LeMat-Bulk describes a relaxed structure of RbI3. The functional is PBE-GGA.

Summary:
**Space-group type**: No. 63

Cell: 6.869 6.869 7.933 Å, 90.00 90.00 94.20°
Fractional coordinates of all 8 atoms:
Rb 0.162 0.838 0.750
Rb 0.838 0.162 0.250
I 0.127 0.340 0.750
I 0.340 0.127 0.250
I 0.365 0.635 0.250
I 0.635 0.365 0.750
I 0.660 0.873 0.750
I 0.873 0.660 0.250



2.
This record from Alexandria via LeMat-Bulk describes a relaxed structure of RbI2. The functional is PBE-GGA.

Summary:
**Space-group type**: No. 12
**Energy above the most stable polymorph in this dataset**: 92.2 meV per atom

Cell: 4.953 4.953 7.013 Å, 110.61 110.61 90.00°
Fractional coordinates of all 3 atoms:
Rb 0.000 0.000 0.000
I 0.367 0.367 0.732
I 0.633 0.633 0.268



It is found that the DFT total energy values, taken in the order of the records, are -1.997, -2.181 eV per atom.
It is found that the spin magnetization values, taken in the order of the records, are 0.30, 0.99 μB per cell.